Run a
A plane-wave DFT calculation with PBEsol was carried out for crystalline NaGeSbTe2 at its relaxed geometry.

The magnetic moment is 0.000 μB/f.u. The space group is P4/mmm (123).

```
data_NaGeSbTe2
_cell_length_a 5.1691
_cell_length_b 5.5682
_cell_length_c 5.5682
_cell_angle_alpha 90.00
_cell_angle_beta 90.00
_cell_angle_gamma 90.00
_symmetry_space_group_name_H-M 'P 1'
_symmetry_Int_Tables_number 1
loop_
_symmetry_equiv_pos_as_xyz
'x,y,z'
loop_
_atom_site_label
_atom_site_type_symbol
_atom_site_fract_x
_atom_site_fract_y
_atom_site_fract_z
_atom_site_occupancy
Sb1 Sb 0.5000 0.0000 0.0000 1
Ge1 Ge 0.0000 0.0000 0.0000 1
Te1 Te 0.0000 0.0000 0.5000 1
Te2 Te 0.0000 0.5000 0.0000 1
Na1 Na 0.5000 0.5000 0.5000 1
```

=====

Run b
A plane-wave DFT calculation with PBEsol was carried out for crystalline NaGeSbTe2 at its relaxed geometry.

The magnetic moment is 0.000 μB/f.u. The space group is P4/mmm (123).

```
data_NaGeSbTe2
_cell_length_a 5.1734
_cell_length_b 5.3962
_cell_length_c 5.3962
_cell_angle_alpha 90.00
_cell_angle_beta 90.00
_cell_angle_gamma 90.00
_symmetry_space_group_name_H-M 'P 1'
_symmetry_Int_Tables_number 1
loop_
_symmetry_equiv_pos_as_xyz
'x,y,z'
loop_
_atom_site_label
_atom_site_type_symbol
_atom_site_fract_x
_atom_site_fract_y
_atom_site_fract_z
_atom_site_occupancy
Sb1 Sb 0.5000 0.0000 0.0000 1
Ge1 Ge 0.5000 0.5000 0.5000 1
Te1 Te 0.0000 0.0000 0.5000 1
Te2 Te 0.0000 0.5000 0.0000 1
Na1 Na 0.0000 0.0000 0.0000 1
```

=====

Top of the stability list: run a, leading by 641 meV/atom.

=====

Run a
A plane-wave DFT calculation with PBEsol was carried out for crystalline Na3GeW at its relaxed geometry.

The magnetic moment is 4.076 μB/f.u. The space group is Pm-3m (221).

```
data_Na3GeW
_cell_length_a 5.6316
_cell_length_b 5.6316
_cell_length_c 5.6316
_cell_angle_alpha 90.00
_cell_angle_beta 90.00
_cell_angle_gamma 90.00
_symmetry_space_group_name_H-M 'P 1'
_symmetry_Int_Tables_number 1
loop_
_symmetry_equiv_pos_as_xyz
'x,y,z'
loop_
_atom_site_label
_atom_site_type_symbol
_atom_site_fract_x
_atom_site_fract_y
_atom_site_fract_z
_atom_site_occupancy
Na1 Na 0.0000 0.5000 0.0000 1
Na2 Na 0.0000 0.0000 0.5000 1
Na3 Na 0.5000 0.0000 0.0000 1
Ge1 Ge 0.5000 0.5000 0.5000 1
W1 W 0.0000 0.0000 0.0000 1
```

=====

Run b
A plane-wave DFT calculation with PBEsol was carried out for crystalline Na3GeW at its relaxed geometry.

The magnetic moment is 4.224 μB/f.u. The space group is Pm-3m (221).

```
data_Na3GeW
_cell_length_a 5.3733
_cell_length_b 5.3733
_cell_length_c 5.3733
_cell_angle_alpha 90.00
_cell_angle_beta 90.00
_cell_angle_gamma 90.00
_symmetry_space_group_name_H-M 'P 1'
_symmetry_Int_Tables_number 1
loop_
_symmetry_equiv_pos_as_xyz
'x,y,z'
loop_
_atom_site_label
_atom_site_type_symbol
_atom_site_fract_x
_atom_site_fract_y
_atom_site_fract_z
_atom_site_occupancy
Na1 Na 0.0000 0.5000 0.0000 1
Na2 Na 0.0000 0.0000 0.5000 1
Na3 Na 0.5000 0.0000 0.0000 1
Ge1 Ge 0.0000 0.0000 0.0000 1
W1 W 0.5000 0.5000 0.5000 1
```

=====

Top of the stability list: run b, leading by 262 meV/atom.

=====

Run a
A plane-wave DFT calculation with PBEsol was carried out for crystalline GePb3O5 at its relaxed geometry.

The magnetic moment is 0.000 μB/f.u. The space group is P2_1 (4).

```
data_GePb3O5
_cell_length_a 5.2419
_cell_length_b 5.4755
_cell_length_c 10.4311
_cell_angle_alpha 90.00
_cell_angle_beta 90.00
_cell_angle_gamma 93.54
_symmetry_space_group_name_H-M 'P 1'
_symmetry_Int_Tables_number 1
loop_
_symmetry_equiv_pos_as_xyz
'x,y,z'
loop_
_atom_site_label
_atom_site_type_symbol
_atom_site_fract_x
_atom_site_fract_y
_atom_site_fract_z
_atom_site_occupancy
Ge1 Ge 0.0150 0.4479 0.7556 1
Ge2 Ge 0.9850 0.5521 0.2556 1
Pb1 Pb 0.0249 0.9535 0.0023 1
Pb2 Pb 0.9751 0.0465 0.5023 1
Pb3 Pb 0.5028 0.0236 0.2507 1
Pb4 Pb 0.4974 0.5079 0.4865 1
Pb5 Pb 0.5026 0.4921 0.9865 1
Pb6 Pb 0.4972 0.9764 0.7507 1
O1 O 0.0659 0.4786 0.5895 1
O2 O 0.6137 0.9018 0.9536 1
O3 O 0.1731 0.6895 0.8434 1
O4 O 0.8269 0.3105 0.3434 1
O5 O 0.9341 0.5214 0.0895 1
O6 O 0.3863 0.0982 0.4536 1
O7 O 0.6824 0.4126 0.7880 1
O8 O 0.1462 0.1758 0.8116 1
O9 O 0.3176 0.5874 0.2880 1
O10 O 0.8538 0.8242 0.3116 1
```

=====

Run b
A plane-wave DFT calculation with PBEsol was carried out for crystalline GePb3O5 at its relaxed geometry.

The magnetic moment is 0.000 μB/f.u. The space group is Cmm2 (35).

```
data_GePb3O5
_cell_length_a 5.2959
_cell_length_b 5.2959
_cell_length_c 5.4437
_cell_angle_alpha 90.00
_cell_angle_beta 90.00
_cell_angle_gamma 90.94
_symmetry_space_group_name_H-M 'P 1'
_symmetry_Int_Tables_number 1
loop_
_symmetry_equiv_pos_as_xyz
'x,y,z'
loop_
_atom_site_label
_atom_site_type_symbol
_atom_site_fract_x
_atom_site_fract_y
_atom_site_fract_z
_atom_site_occupancy
Ge1 Ge 0.0000 0.0000 0.4832 1
Pb1 Pb 0.5000 0.5000 0.4541 1
Pb2 Pb 0.5000 0.0000 0.9789 1
Pb3 Pb 0.0000 0.5000 0.9789 1
O1 O 0.8120 0.1880 0.2892 1
O2 O 0.8074 0.8074 0.6732 1
O3 O 0.1926 0.1926 0.6732 1
O4 O 0.1880 0.8120 0.2892 1
O5 O 0.5000 0.5000 0.0298 1
```

=====

Top of the stability list: run a, leading by 98 meV/atom.

=====

Run a
A plane-wave DFT calculation with PBEsol was carried out for crystalline GeSe2O6 at its relaxed geometry.

The magnetic moment is 0.000 μB/f.u. The space group is Pa-3 (205).

```
data_GeSe2O6
_cell_length_a 7.8123
_cell_length_b 7.8123
_cell_length_c 7.8123
_cell_angle_alpha 90.00
_cell_angle_beta 90.00
_cell_angle_gamma 90.00
_symmetry_space_group_name_H-M 'P 1'
_symmetry_Int_Tables_number 1
loop_
_symmetry_equiv_pos_as_xyz
'x,y,z'
loop_
_atom_site_label
_atom_site_type_symbol
_atom_site_fract_x
_atom_site_fract_y
_atom_site_fract_z
_atom_site_occupancy
Ge1 Ge 0.5000 0.5000 0.5000 1
Ge2 Ge 0.5000 0.0000 0.0000 1
Ge3 Ge 0.0000 0.5000 0.0000 1
Ge4 Ge 0.0000 0.0000 0.5000 1
Se1 Se 0.8299 0.6701 0.3299 1
Se2 Se 0.1701 0.1701 0.1701 1
Se3 Se 0.6701 0.3299 0.8299 1
Se4 Se 0.3299 0.8299 0.6701 1
Se5 Se 0.1701 0.3299 0.6701 1
Se6 Se 0.8299 0.8299 0.8299 1
Se7 Se 0.3299 0.6701 0.1701 1
Se8 Se 0.6701 0.1701 0.3299 1
O1 O 0.7395 0.5270 0.4733 1
O2 O 0.2605 0.0270 0.0267 1
O3 O 0.7605 0.4730 0.9733 1
O4 O 0.2395 0.9730 0.5267 1
O5 O 0.4733 0.7395 0.5270 1
O6 O 0.0267 0.2605 0.0270 1
O7 O 0.9733 0.7605 0.4730 1
O8 O 0.5267 0.2395 0.9730 1
O9 O 0.5270 0.4733 0.7395 1
O10 O 0.0270 0.0267 0.2605 1
O11 O 0.4730 0.9733 0.7605 1
O12 O 0.9730 0.5267 0.2395 1
O13 O 0.2605 0.4730 0.5267 1
O14 O 0.7395 0.9730 0.9733 1
O15 O 0.2395 0.5270 0.0267 1
O16 O 0.7605 0.0270 0.4733 1
O17 O 0.5267 0.2605 0.4730 1
O18 O 0.9733 0.7395 0.9730 1
O19 O 0.0267 0.2395 0.5270 1
O20 O 0.4733 0.7605 0.0270 1
O21 O 0.4730 0.5267 0.2605 1
O22 O 0.9730 0.9733 0.7395 1
O23 O 0.5270 0.0267 0.2395 1
O24 O 0.0270 0.4733 0.7605 1
```

=====

Run b
A plane-wave DFT calculation with PBEsol was carried out for crystalline GeSe2O6 at its relaxed geometry.

The magnetic moment is 0.000 μB/f.u. The space group is P2_1/c (14).

```
data_GeSe2O6
_cell_length_a 5.0853
_cell_length_b 6.7351
_cell_length_c 7.3281
_cell_angle_alpha 90.00
_cell_angle_beta 91.02
_cell_angle_gamma 90.00
_symmetry_space_group_name_H-M 'P 1'
_symmetry_Int_Tables_number 1
loop_
_symmetry_equiv_pos_as_xyz
'x,y,z'
loop_
_atom_site_label
_atom_site_type_symbol
_atom_site_fract_x
_atom_site_fract_y
_atom_site_fract_z
_atom_site_occupancy
Ge1 Ge 0.0000 0.0000 0.0000 1
Ge2 Ge 0.5000 0.5000 0.5000 1
Se1 Se 0.4842 0.1750 0.8025 1
Se2 Se 0.9842 0.3250 0.3025 1
Se3 Se 0.5158 0.8250 0.1975 1
Se4 Se 0.0158 0.6750 0.6975 1
O1 O 0.6974 0.1639 0.9926 1
O2 O 0.1974 0.3361 0.4926 1
O3 O 0.3026 0.8361 0.0074 1
O4 O 0.8026 0.6639 0.5074 1
O5 O 0.5524 0.4197 0.7457 1
O6 O 0.0524 0.0803 0.2457 1
O7 O 0.4476 0.5803 0.2543 1
O8 O 0.9476 0.9197 0.7543 1
O9 O 0.1986 0.2232 0.9189 1
O10 O 0.6986 0.2768 0.4189 1
O11 O 0.8014 0.7768 0.0811 1
O12 O 0.3014 0.7232 0.5811 1
```

=====

Top of the stability list: run b, leading by 14 meV/atom.